# GGA+U AcMnSbO6, optimized geometry
data_AcMnSbO6
_symmetry_space_group_name_H-M 'P 42 n m'
_symmetry_Int_Tables_number 102
_symmetry_space_group_name_Hall 'P 4n -2n'
_cell_length_a 5.018
_cell_length_b 5.018
_cell_length_c 9.884
_cell_angle_alpha 90.00
_cell_angle_beta 90.00
_cell_angle_gamma 90.00
loop_
_atom_site_label
_atom_site_type_symbol
_atom_site_fract_x
_atom_site_fract_y
_atom_site_fract_z
Ac1 Ac 0.000 0.000 0.000
Mn1 Mn 0.000 0.000 0.332
Sb1 Sb 0.000 0.000 0.666
O1 O 0.163 0.163 0.495
O2 O 0.216 0.216 0.190
O3 O 0.217 0.217 0.804
# E_tot: -6.815 eV/atom